Computed, not measured: a geometry-optimized Al5Mo structure at the PBE level of DFT.

Crystal system: hexagonal
DOS(E_F) (states/eV/cell): 3.41
Excess energy over the best structure of this formula in the dataset (meV/atom): 587
Energy of formation from the pure elements (eV/atom): 0.336

The structure in POSCAR format:
```
Al5Mo
1.0
2.498 -4.327 0.000
2.498 4.327 0.000
0.000 0.000 4.591
Al Mo
5 1
Direct
0.500 0.500 0.500
0.667 0.333 0.000
0.333 0.667 0.000
0.500 0.000 0.500
0.000 0.500 0.500
0.000 0.000 0.000
```

***

Computed, not measured: a geometry-optimized Tm2CdCu structure at the PBE level of DFT.

Crystal system: tetragonal
DOS(E_F) (states/eV/cell): 2.80
Excess energy over the best structure of this formula in the dataset (meV/atom): 0
Energy of formation from the pure elements (eV/atom): -0.295

The structure in POSCAR format:
```
Tm2CdCu
1.0
-0.822 -1.065 3.179
-0.656 -3.159 -1.227
7.235 -1.972 1.209
Tm Cu Cd
2 1 1
Direct
0.000 0.000 0.220
0.000 0.000 0.780
0.500 0.500 0.000
0.500 0.500 0.500
```

***

Computed, not measured: a geometry-optimized TiCoGeRh structure at the PBE level of DFT.

Crystal system: cubic
DOS(E_F) (states/eV/cell): 1.65
Excess energy over the best structure of this formula in the dataset (meV/atom): 44
Energy of formation from the pure elements (eV/atom): -0.566

The structure in POSCAR format:
```
TiCoGeRh
1.0
4.259 0.000 0.000
2.129 3.688 0.000
2.129 1.229 3.477
Rh Ge Co Ti
1 1 1 1
Direct
0.500 0.500 0.500
0.250 0.250 0.250
0.000 0.000 0.000
0.750 0.750 0.750
```

***

Computed, not measured: a geometry-optimized YMg2In structure at the PBE level of DFT.

Crystal system: orthorhombic
DOS(E_F) (states/eV/cell): 2.20
Energy of formation from the pure elements (eV/atom): -0.299

The structure in POSCAR format:
```
YMg2In
1.0
-1.688 2.157 3.482
2.321 -2.797 2.858
3.721 3.020 -0.067
Mg Y In
2 1 1
Direct
0.500 0.500 0.000
0.000 0.000 0.000
0.500 0.000 0.500
0.000 0.500 0.500
```

***

Computed, not measured: a geometry-optimized CsBiPb2S4 structure at the PBE level of DFT.

Raw formation energy (eV/atom): -0.49
Crystal system: orthorhombic
DOS(E_F) (states/eV/cell): 2.94

The structure in POSCAR format:
```
CsBiPb2S4
1.0
8.673 0.034 0.059
0.028 8.673 0.059
-4.262 -4.265 6.094
S Cs Pb Bi
8 2 4 2
Direct
0.290 0.764 0.527
0.260 0.240 0.489
0.736 0.210 0.973
0.260 0.240 0.011
0.710 0.236 0.473
0.740 0.760 0.511
0.264 0.790 0.027
0.740 0.760 0.989
0.000 0.500 0.000
0.000 0.500 0.500
0.500 0.000 0.000
0.500 0.500 0.000
0.500 0.000 0.500
0.000 0.000 0.500
0.500 0.500 0.500
0.000 0.000 0.000
```

***

Computed, not measured: a geometry-optimized Ca2In2Pb structure at the PBE level of DFT.

Crystal system: tetragonal
DOS(E_F) (states/eV/cell): 4.23
Excess energy over the best structure of this formula in the dataset (meV/atom): 124
Energy of formation from the pure elements (eV/atom): -0.241

The structure in POSCAR format:
```
Ca2In2Pb
1.0
4.114 0.000 0.000
0.000 4.114 0.000
2.057 2.057 9.490
In Ca Pb
2 2 1
Direct
0.250 0.750 0.500
0.750 0.250 0.500
0.400 0.400 0.199
0.600 0.600 0.801
0.000 0.000 0.000
```

***

Computed, not measured: a geometry-optimized BaTa2Mo structure at the PBE level of DFT.

Crystal system: orthorhombic
DOS(E_F) (states/eV/cell): 5.49
Excess energy over the best structure of this formula in the dataset (meV/atom): 495
Energy of formation from the pure elements (eV/atom): 1.031

The structure in POSCAR format:
```
BaTa2Mo
1.0
-3.553 -2.651 4.384
2.687 -1.193 5.498
-2.041 3.954 -4.367
Mo Ba Ta
1 1 2
Direct
0.250 0.750 0.500
0.750 0.250 0.500
0.046 0.046 0.000
0.454 0.454 0.000
```

***

Computed, not measured: a geometry-optimized LuTiClO3 structure at the PBE level of DFT.

Raw formation energy (eV/atom): -3.10
Crystal system: monoclinic
DOS(E_F) (states/eV/cell): 0.00

The structure in POSCAR format:
```
LuTiClO3
1.0
5.325 0.026 -0.051
3.921 3.604 -0.051
2.540 0.997 9.221
Ti Cl O Lu
2 2 6 2
Direct
0.883 0.883 0.425
0.117 0.117 0.575
0.616 0.616 0.090
0.384 0.384 0.910
0.076 0.076 0.372
0.154 0.154 0.756
0.671 0.671 0.568
0.846 0.846 0.244
0.329 0.329 0.432
0.924 0.924 0.628
0.731 0.731 0.795
0.269 0.269 0.205
```